# 1
Sc2GaPd | PBE | relaxed

Lattice parameters (Å, degrees): 4.6514 4.6514 4.6514 60.00 60.00 60.00
Atoms (fractional coordinates):
1 Ga 0.5000 0.5000 0.5000
2 Pd 0.2500 0.2500 0.2500
3 Sc 0.0000 0.0000 0.0000
4 Sc 0.7500 0.7500 0.7500

Output
magnetic moment: 1.00 μB per cell
calculated total energy: -23.0 eV for the cell shown


# 2
TeIrNO | PBE | relaxed

Lattice parameters (Å, degrees): 3.0842 6.1855 6.2857 90.00 90.00 90.00
Atoms (fractional coordinates):
1 Ir 0.0000 0.5712 0.4878
2 Ir 0.0000 0.4288 0.9878
3 N 0.0000 0.7010 0.2069
4 N 0.0000 0.2990 0.7069
5 O 0.5000 0.2394 0.0806
6 O 0.5000 0.7606 0.5806
7 Te 0.5000 0.1986 0.4707
8 Te 0.5000 0.8014 0.9707

Output
magnetic moment: 0.00 μB per cell
energy above the most stable polymorph in this dataset: 186.5 meV/atom


# 3
Li2MgCdGa2Ni2 | PBE | relaxed

Lattice parameters (Å, degrees): 4.2845 4.2845 6.0834 90.00 90.00 90.00
Atoms (fractional coordinates):
1 Cd 0.5000 0.5000 0.0000
2 Ga 0.0000 0.0000 0.0000
3 Ga 0.5000 0.5000 0.5000
4 Li 0.5000 0.0000 0.2493
5 Li 0.0000 0.5000 0.7507
6 Mg 0.0000 0.0000 0.5000
7 Ni 0.0000 0.5000 0.2579
8 Ni 0.5000 0.0000 0.7421

Output
magnetic moment: 0.00 μB per cell
calculated total energy: -25.7 eV for the cell shown


# 4
RbAlCoSe3 | PBE | relaxed

Lattice parameters (Å, degrees): 8.0929 8.0929 10.0707 90.00 90.00 152.89
Atoms (fractional coordinates):
1 Al 0.4688 0.5312 0.2500
2 Al 0.5312 0.4688 0.7500
3 Co 0.0000 0.0000 0.0000
4 Co 0.0000 0.0000 0.5000
5 Rb 0.7498 0.2502 0.2500
6 Rb 0.2502 0.7498 0.7500
7 Se 0.3963 0.6037 0.0452
8 Se 0.0631 0.9369 0.2500
9 Se 0.3963 0.6037 0.4548
10 Se 0.6037 0.3963 0.5452
11 Se 0.9369 0.0631 0.7500
12 Se 0.6037 0.3963 0.9548

Output
magnetic moment: 2.01 μB per cell
energy above the most stable polymorph in this dataset: 52.3 meV/atom


# 5
YAl2Fe | PBE | relaxed

Lattice parameters (Å, degrees): 4.6060 4.6060 4.6060 60.00 60.00 60.00
Atoms (fractional coordinates):
1 Al 0.0000 0.0000 0.0000
2 Al 0.7500 0.7500 0.7500
3 Fe 0.5000 0.5000 0.5000
4 Y 0.2500 0.2500 0.2500

Output
magnetic moment: 1.46 μB per cell
calculated total energy: -22.5 eV for the cell shown


# 6
Er2Ga4CoNi | PBE | relaxed

Lattice parameters (Å, degrees): 6.7332 5.4009 5.4009 44.12 90.00 90.00
Atoms (fractional coordinates):
1 Co 0.0000 0.7878 0.7878
2 Er 0.0000 0.0677 0.0677
3 Er 0.5000 0.9310 0.9310
4 Ga 0.1959 0.3535 0.3535
5 Ga 0.8041 0.3535 0.3535
6 Ga 0.3030 0.6468 0.6468
7 Ga 0.6970 0.6468 0.6468
8 Ni 0.5000 0.2130 0.2130

Output
magnetic moment: 0.00 μB per cell
calculated total energy: -38.7 eV for the cell shown


magnetic moment of number 1 (Sc2GaPd)? 1.00 μB per cell


Which value of magnetic moment does entry 3 give? 0.00 μB per cell